Entry 1:
ReWCl2 (PBE, optimized geometry); formation energy from raw total energies = 0.972 eV per atom; excess energy over the best structure of this formula in the dataset = 1.154 eV per atom; crystal system = orthorhombic; electronic total energy = -6.301 eV/atom
1.0
1.3965 -2.5888 0.0000
1.3965 2.5888 0.0000
0.0000 0.0000 11.7626
Re W Cl
1 1 2
Direct
0.0000 0.0000 0.0000
0.0000 0.0000 0.5000
0.5000 0.5000 0.3298
0.5000 0.5000 0.6702

=====

Entry 2:
Tb2PmPr4Nd (PBE, optimized geometry); DFT formation energy = 0.01 eV/atom; crystal system = monoclinic; electronic total energy = -4.723 eV/atom
1.0
6.3422 0.0000 0.0000
0.0000 3.6771 0.0000
-2.1563 0.0000 11.9241
Tb Pm Pr Nd
2 1 4 1
Direct
0.0000 0.0000 0.0000
0.0000 0.5000 0.5000
0.5000 0.0000 0.5000
0.2485 0.0000 0.7484
0.2490 0.5000 0.2495
0.7510 0.5000 0.7505
0.7515 0.0000 0.2516
0.5000 0.5000 0.0000

=====

Entry 3:
NbHRh3 (PBE, optimized geometry); excess energy over the best structure of this formula in the dataset = 0.034 eV per atom; crystal system = monoclinic; electronic total energy = -7.479 eV/atom
1.0
4.8790 -2.8365 0.0000
4.8790 2.8365 0.0000
-0.0217 0.0000 4.5161
Nb H Rh
2 2 6
Direct
0.0000 0.0000 0.0000
0.6742 0.6742 0.5001
0.3312 0.3312 0.7834
0.4733 0.4733 0.3508
0.1505 0.6768 0.5022
0.1666 0.1666 0.4979
0.4991 0.9970 0.9990
0.5035 0.5035 0.9776
0.6768 0.1505 0.5022
0.9970 0.4991 0.9990

=====

> Among the records above, which one has the highest electronic total energy?

Tb2PmPr4Nd